1.
Pm3MgSc: relaxed, GGA-PBE.

a = 3.6637 Å, b = 8.3757 Å, c = 10.2454 Å
α = 77.25°, β = 100.30°, γ = 90.00°
Last column: nearest neighbours and their distance in Å.
Sites, in units of the cell vectors:
Sc 0.7837 0.8433 0.5674  2 Mg 3.18, 2 Sc 3.24, 5 Pm 3.45-3.53
Sc 0.2163 0.1567 0.4326  2 Mg 3.18, 2 Sc 3.24, 5 Pm 3.45-3.53
Pm 0.6045 0.9751 0.2090  3 Sc 3.51-3.53, 8 Pm 3.52-3.68, 1 Mg 3.54
Pm 0.0110 0.7136 0.0219  4 Mg 3.32-3.46, 8 Pm 3.48-3.70
Pm 0.1879 0.6285 0.3757  2 Mg 3.33, 7 Pm 3.44-3.66, 2 Sc 3.45
Pm 0.9890 0.2864 0.9781  4 Mg 3.32-3.46, 8 Pm 3.48-3.70
Pm 0.8121 0.3715 0.6243  2 Mg 3.33, 7 Pm 3.44-3.66, 2 Sc 3.45
Pm 0.3955 0.0249 0.7910  3 Sc 3.51-3.53, 8 Pm 3.52-3.68, 1 Mg 3.54
Mg 0.6089 0.3956 0.2178  2 Sc 3.18, 7 Pm 3.32-3.54
Mg 0.3911 0.6044 0.7822  2 Sc 3.18, 7 Pm 3.32-3.54

symmetry: C2/m
N(E_F): 15.05 states/eV/cell
VASP energy: -4.4164 eV/atom
calculated density: 5.56 g cm⁻³

2.
Pr3MgIn2: relaxed, GGA-PBE.

a = 3.8759 Å, b = 3.8759 Å, c = 11.9168 Å
α = 90.00°, β = 90.00°, γ = 90.00°
Last column: nearest neighbours and their distance in Å.
Sites, in units of the cell vectors:
Pr 0.0000 0.0000 0.6642  4 In 3.36, 4 Mg 3.37
Pr 0.0000 0.0000 0.3358  4 In 3.36, 4 Mg 3.37
Pr 0.0000 0.0000 0.0000  8 In 3.42
In 0.5000 0.5000 0.1723  8 Pr 3.36-3.42
In 0.5000 0.5000 0.8277  8 Pr 3.36-3.42
Mg 0.5000 0.5000 0.5000  8 Pr 3.37

symmetry: P4/mmm
N(E_F): 5.98 states/eV/cell
VASP energy: -3.9324 eV/atom
calculated density: 6.28 g cm⁻³